(1)
First-principles (PBE-GGA) data for crystalline CsAsO2 at its relaxed geometry, as listed in the Alexandria database.

V ... 350.1 Å³/cell
Raw formation energy ... -127.57 kJ per mole of atoms
DFT total energy ... -5.177 eV per atom

a b c (Å): 8.533 3.362 12.206
angles (deg): 90.00 90.00 90.00
Fractional coordinates of all 16 atoms:
1 Cs 0.006 0.250 0.195
2 Cs 0.494 0.750 0.695
3 Cs 0.506 0.250 0.305
4 Cs 0.994 0.750 0.805
5 As 0.167 0.250 0.511
6 As 0.333 0.750 0.011
7 As 0.667 0.250 0.989
8 As 0.833 0.750 0.489
9 O 0.199 0.250 0.649
10 O 0.221 0.250 0.969
11 O 0.279 0.750 0.469
12 O 0.301 0.750 0.149
13 O 0.699 0.250 0.851
14 O 0.721 0.250 0.531
15 O 0.779 0.750 0.031
16 O 0.801 0.750 0.351

=====

(2)
First-principles (PBE-GGA) data for crystalline Dy3Ho5As8 at its relaxed geometry, as listed in the Alexandria database.

V ... 391.6 Å³/cell
DOS at the Fermi energy ... 2.64 states/eV/f.u.
Formation energy from the elements ... -1532 meV/atom
DFT total energy ... -6.150 eV per atom

a b c (Å): 8.212 8.212 8.212
angles (deg): 60.00 60.00 60.00
Fractional coordinates of all 16 atoms:
1 Dy 0.000 0.500 0.500
2 Dy 0.500 0.000 0.500
3 Dy 0.500 0.500 0.000
4 Ho 0.000 0.000 0.000
5 Ho 0.000 0.000 0.500
6 Ho 0.000 0.500 0.000
7 Ho 0.500 0.000 0.000
8 Ho 0.500 0.500 0.500
9 As 0.249 0.750 0.750
10 As 0.250 0.250 0.250
11 As 0.250 0.250 0.751
12 As 0.250 0.751 0.250
13 As 0.750 0.249 0.750
14 As 0.750 0.750 0.249
15 As 0.750 0.750 0.750
16 As 0.751 0.250 0.250

=====

(3)
First-principles (PBE-GGA) data for crystalline Li2Tl2AgPd4 at its relaxed geometry, as listed in the Alexandria database.

V ... 165.0 Å³/cell
DOS at the Fermi energy ... 3.01 states/eV/f.u.
Formation energy from the elements ... -114 meV/atom
DFT total energy ... -3.690 eV per atom

a b c (Å): 6.059 6.059 6.059
angles (deg): 116.23 116.23 96.66
Fractional coordinates of all 9 atoms:
1 Li 0.206 0.206 0.000
2 Li 0.794 0.794 0.000
3 Tl 0.250 0.750 0.500
4 Tl 0.750 0.250 0.500
5 Ag 0.500 0.500 0.000
6 Pd 0.214 0.214 0.428
7 Pd 0.214 0.786 0.000
8 Pd 0.786 0.214 0.000
9 Pd 0.786 0.786 0.572

=====

(4)
First-principles (PBE-GGA) data for crystalline HfTlN3 at its relaxed geometry, as listed in the Alexandria database.

V ... 68.0 Å³/cell
DOS at the Fermi energy ... 2.17 states/eV/f.u.
Raw formation energy ... 165.96 kJ per mole of atoms
DFT total energy ... -5.739 eV per atom

a b c (Å): 4.082 4.082 4.082
angles (deg): 90.00 90.00 90.00
Fractional coordinates of all 5 atoms:
1 Hf 0.000 0.000 0.000
2 Tl 0.500 0.500 0.500
3 N 0.000 0.500 0.500
4 N 0.500 0.000 0.500
5 N 0.500 0.500 0.000